First-principles (GGA-PBE) data for crystalline ZrAlTcPt at its relaxed geometry, as listed in the Alexandria database.

a b c (Å): 4.5188 4.5188 4.5188
angles (deg): 60.00 60.00 60.00
With the nearest neighbours (Å) after each atom.
Element x y z (fractional)
Zr 0.0000 0.0000 0.0000  4 Tc 2.77, 4 Pt 2.77
Al 0.5000 0.5000 0.5000  4 Tc 2.77, 4 Pt 2.77
Tc 0.7500 0.7500 0.7500  4 Zr 2.77, 4 Al 2.77
Pt 0.2500 0.2500 0.2500  4 Zr 2.77, 4 Al 2.77

Output
Size of the total moment (μB/f.u.): 0.00
Crystal system: cubic
Calculated formation energy (meV per atom): -728
Symmetry: F-43m, No. 216